Material: BaEuSnWO6
Method: DFT, GGA+U
State: optimized geometry

Summary:
* M_tot: 0.70 μB per atom
* E above lowest polymorph: 0.100 eV/atom

```
data_BaEuSnWO6
_symmetry_space_group_name_H-M 'P 1'
_symmetry_Int_Tables_number 1
_cell_length_a 6.117
_cell_length_b 6.117
_cell_length_c 6.117
_cell_angle_alpha 60.00
_cell_angle_beta 60.00
_cell_angle_gamma 60.00
loop_
_symmetry_equiv_pos_as_xyz
'x,y,z'
loop_
_atom_site_label
_atom_site_fract_x
_atom_site_fract_y
_atom_site_fract_z
Ba1 0.250 0.250 0.250
Eu1 0.750 0.750 0.750
Sn1 0.000 0.000 0.000
W1 0.500 0.500 0.500
O1 0.274 0.726 0.274
O2 0.726 0.274 0.726
O3 0.274 0.726 0.726
O4 0.726 0.274 0.274
O5 0.274 0.274 0.726
O6 0.726 0.726 0.274
```